## 1
A plane-wave DFT calculation with PBE was carried out for a relaxed GaBiW2 crystal.

Properties
Its symmetry is I-42d (122).

Cell and atoms, written as POSCAR:
```
GaBiW2
1.0
4.1265 0.0000 0.0000
0.0000 4.1265 0.0000
0.0000 0.0000 19.3297
Ga Bi W
4 4 8
Direct
0.0000 0.0000 0.0000
0.0000 0.5000 0.2500
0.5000 0.0000 0.7500
0.5000 0.5000 0.5000
0.0000 0.0000 0.5000
0.0000 0.5000 0.7500
0.5000 0.0000 0.2500
0.5000 0.5000 0.0000
0.1850 0.2500 0.1250
0.2500 0.6850 0.3750
0.2500 0.8150 0.8750
0.3150 0.2500 0.6250
0.6850 0.7500 0.6250
0.7500 0.1850 0.8750
0.7500 0.3150 0.3750
0.8150 0.7500 0.1250
```



## 2
A plane-wave DFT calculation with PBE was carried out for a relaxed GaBiW2 crystal.

Properties
Its symmetry is Fm-3m (225).

Cell and atoms, written as POSCAR:
```
GaBiW2
1.0
6.5982 0.0000 0.0000
0.0000 6.5982 0.0000
0.0000 0.0000 6.5982
Ga Bi W
4 4 8
Direct
0.0000 0.0000 0.0000
0.0000 0.5000 0.5000
0.5000 0.0000 0.5000
0.5000 0.5000 0.0000
0.0000 0.0000 0.5000
0.0000 0.5000 0.0000
0.5000 0.0000 0.0000
0.5000 0.5000 0.5000
0.2500 0.2500 0.2500
0.2500 0.2500 0.7500
0.2500 0.7500 0.2500
0.2500 0.7500 0.7500
0.7500 0.2500 0.2500
0.7500 0.2500 0.7500
0.7500 0.7500 0.2500
0.7500 0.7500 0.7500
```



Relative energy of each structure, in eV/atom: 1 0.000; 2 0.082.